(1)
This record from Alexandria via LeMat-Bulk describes a relaxed structure of Al2VCr. The functional is GGA-PBE.

Cell: 4.344 4.344 4.344 Å, 60.00 60.00 60.00°
Element x y z (fractional)
1 Al 0.250 0.250 0.250
2 Al 0.750 0.750 0.750
3 V 0.000 0.000 0.000
4 Cr 0.500 0.500 0.500

The energy relative to the elements comes out at -0.002 eV per atom. For the total DFT energy (no corrections), the calculation gives -6.559 eV/atom.


(2)
This record from Alexandria via LeMat-Bulk describes a relaxed structure of Al2VCr. The functional is GGA-PBE.

Cell: 5.464 5.464 5.464 Å, 103.08 103.08 123.19°
Element x y z (fractional)
1 Al 0.117 0.125 0.492
2 Al 0.375 0.883 0.008
3 Al 0.633 0.625 0.508
4 Al 0.875 0.367 0.992
5 V 0.250 0.750 0.500
6 V 0.500 0.500 0.000
7 Cr 0.000 0.000 0.000
8 Cr 0.750 0.250 0.500

The energy relative to the elements comes out at 0.421 eV per atom. For the total DFT energy (no corrections), the calculation gives -6.136 eV/atom.


(3)
This record from Alexandria via LeMat-Bulk describes a relaxed structure of Al2V3Cr. The functional is GGA-PBE.

Cell: 4.167 8.417 5.105 Å, 90.00 114.00 90.00°
Element x y z (fractional)
1 Al 0.000 0.000 0.000
2 Al 0.000 0.500 0.000
3 Al 0.337 0.000 0.674
4 Al 0.663 0.000 0.326
5 V 0.171 0.252 0.343
6 V 0.171 0.748 0.343
7 V 0.500 0.269 0.000
8 V 0.500 0.731 0.000
9 V 0.829 0.252 0.657
10 V 0.829 0.748 0.657
11 Cr 0.320 0.500 0.640
12 Cr 0.680 0.500 0.360

The energy relative to the elements comes out at -0.130 eV per atom. For the total DFT energy (no corrections), the calculation gives -7.541 eV/atom.


(4)
This record from Alexandria via LeMat-Bulk describes a relaxed structure of AlV4Cr3. The functional is GGA-PBE.

Cell: 4.173 4.173 5.913 Å, 90.00 90.00 90.00°
Element x y z (fractional)
1 Al 0.000 0.000 0.000
2 V 0.000 0.500 0.263
3 V 0.000 0.500 0.737
4 V 0.500 0.000 0.263
5 V 0.500 0.000 0.737
6 Cr 0.000 0.000 0.500
7 Cr 0.500 0.500 0.000
8 Cr 0.500 0.500 0.500

The energy relative to the elements comes out at -0.100 eV per atom. For the total DFT energy (no corrections), the calculation gives -8.736 eV/atom.


(5)
This record from Alexandria via LeMat-Bulk describes a relaxed structure of Al8VCr2. The functional is GGA-PBE.

Cell: 7.548 7.548 4.979 Å, 93.29 93.29 34.82°
Element x y z (fractional)
1 Al 0.042 0.042 0.257
2 Al 0.225 0.225 0.365
3 Al 0.323 0.323 0.922
4 Al 0.412 0.412 0.438
5 Al 0.588 0.588 0.562
6 Al 0.677 0.677 0.078
7 Al 0.775 0.775 0.635
8 Al 0.958 0.958 0.743
9 V 0.500 0.500 0.000
10 Cr 0.144 0.144 0.814
11 Cr 0.856 0.856 0.186

The energy relative to the elements comes out at -0.059 eV per atom. For the total DFT energy (no corrections), the calculation gives -5.359 eV/atom.


(6)
This record from Alexandria via LeMat-Bulk describes a relaxed structure of AlV5Cr6. The functional is GGA-PBE.

Cell: 7.172 7.172 7.172 Å, 146.64 131.64 60.02°
Element x y z (fractional)
1 Al 0.000 0.000 0.000
2 V 0.160 0.660 0.500
3 V 0.331 0.331 0.000
4 V 0.500 0.000 0.500
5 V 0.669 0.669 0.000
6 V 0.840 0.340 0.500
7 Cr 0.086 0.831 0.255
8 Cr 0.264 0.500 0.764
9 Cr 0.425 0.169 0.255
10 Cr 0.575 0.831 0.745
11 Cr 0.736 0.500 0.236
12 Cr 0.914 0.169 0.745

The energy relative to the elements comes out at -0.072 eV per atom. For the total DFT energy (no corrections), the calculation gives -8.995 eV/atom.